No. 1
SrScAs: PBEsol geometry, meta-GGA SCAN.

a = 4.824 Å, b = 4.824 Å, c = 4.824 Å
α = 60.00°, β = 60.00°, γ = 60.00°
Positions (direct):
As: 0.750 0.750 0.750
Sc: 0.000 0.000 0.000
Sr: 0.500 0.500 0.500

Total energy in eV per atom: -19.56
Total moment in μB/cell: 0.00
Crystal system: cubic
V in A^3/atom: 26.5

No. 2
CaCu2Se: PBEsol geometry, meta-GGA SCAN.

a = 3.778 Å, b = 4.223 Å, c = 4.830 Å
α = 90.00°, β = 89.86°, γ = 90.00°
Positions (direct):
Ca: 0.000 0.500 0.500
Cu: 0.499 0.000 0.742
Cu: 0.501 0.000 0.258
Se: 0.500 0.500 0.000

Formation energy without anion corrections in eV per atom: -0.534
Total moment in μB/cell: 0.00
Crystal system: monoclinic
V in A^3/atom: 19.3

No. 3
Sr2CuPt: PBEsol geometry, meta-GGA SCAN.

a = 5.151 Å, b = 5.151 Å, c = 5.151 Å
α = 60.00°, β = 60.00°, γ = 60.00°
Positions (direct):
Cu: 0.000 0.000 0.000
Pt: 0.500 0.500 0.500
Sr: 0.250 0.250 0.250
Sr: 0.750 0.750 0.750

Total energy in eV per atom: -32.91
Total moment in μB/cell: 0.00
Crystal system: cubic
V in A^3/atom: 24.2

No. 4
LiZr2AlAs: PBEsol geometry, meta-GGA SCAN.

a = 4.280 Å, b = 5.001 Å, c = 5.001 Å
α = 90.00°, β = 90.00°, γ = 90.00°
Positions (direct):
As: 0.500 0.500 0.500
Al: 0.000 0.000 0.000
Zr: 0.000 0.000 0.500
Zr: 0.000 0.500 0.000
Li: 0.500 0.000 0.000

Total energy in eV per atom: -17.97
Total moment in μB/cell: 0.00
Crystal system: tetragonal
V in A^3/atom: 21.4

No. 5
KZn2Hg: PBEsol geometry, meta-GGA SCAN.

a = 2.944 Å, b = 5.930 Å, c = 6.187 Å
α = 117.09°, β = 100.94°, γ = 95.77°
Positions (direct):
Hg: 0.000 0.500 0.000
K: 0.500 0.000 0.000
Zn: 0.500 0.500 0.500
Zn: 0.000 0.000 0.500

Total energy in eV per atom: -25.63
Total moment in μB/cell: 0.00
Crystal system: monoclinic
V in A^3/atom: 23.1

No. 6
CaCr3Pd: PBEsol geometry, meta-GGA SCAN.

a = 4.500 Å, b = 4.500 Å, c = 4.500 Å
α = 90.00°, β = 90.00°, γ = 90.00°
Positions (direct):
Cr: 0.000 0.500 0.000
Cr: 0.000 0.000 0.500
Cr: 0.500 0.000 0.000
Ca: 0.000 0.000 0.000
Pd: 0.500 0.500 0.500

Total energy in eV per atom: -17.49
Total moment in μB/cell: 12.17
Crystal system: cubic
V in A^3/atom: 18.2

No. 7
AgBiIr2F: PBEsol geometry, meta-GGA SCAN.

a = 4.273 Å, b = 4.273 Å, c = 4.756 Å
α = 90.00°, β = 90.00°, γ = 90.00°
Positions (direct):
Ir: 0.000 0.500 0.000
Ir: 0.500 0.000 0.000
Bi: 0.000 0.000 0.500
Ag: 0.500 0.500 0.500
F: 0.000 0.000 0.000

Formation energy without anion corrections in eV per atom: 1.090
Total moment in μB/cell: 0.00
Crystal system: tetragonal
V in A^3/atom: 17.4

No. 8
LaCr3: PBEsol geometry, meta-GGA SCAN.

a = 3.166 Å, b = 4.596 Å, c = 4.596 Å
α = 90.00°, β = 90.00°, γ = 90.00°
Positions (direct):
Cr: 0.000 0.000 0.500
Cr: 0.500 0.500 0.500
Cr: 0.000 0.500 0.000
La: 0.500 0.000 0.000

Total energy in eV per atom: -24.07
Total moment in μB/cell: 2.43
Crystal system: tetragonal
V in A^3/atom: 16.7

No. 9
MnTcAu: PBEsol geometry, meta-GGA SCAN.

a = 2.802 Å, b = 3.559 Å, c = 4.833 Å
α = 111.60°, β = 106.85°, γ = 90.00°
Positions (direct):
Au: 0.002 0.002 0.005
Mn: 0.683 0.683 0.365
Tc: 0.315 0.315 0.630

Total energy in eV per atom: -40.78
Total moment in μB/cell: 1.39
Crystal system: orthorhombic
V in A^3/atom: 14.2

No. 10
FeTe2W: PBEsol geometry, meta-GGA SCAN.

a = 3.892 Å, b = 3.892 Å, c = 6.777 Å
α = 90.01°, β = 90.01°, γ = 60.00°
Positions (direct):
Te: 0.125 0.125 0.916
Te: 0.792 0.792 0.370
Fe: 0.125 0.125 0.548
W: 0.458 0.458 0.666

Formation energy without anion corrections in eV per atom: 0.022
Total moment in μB/cell: 0.00
Crystal system: trigonal
V in A^3/atom: 22.2

No. 11
Li3Ti2Cu3O10: PBEsol geometry, meta-GGA SCAN.

a = 5.061 Å, b = 5.288 Å, c = 7.777 Å
α = 109.68°, β = 95.76°, γ = 106.06°
Positions (direct):
Li: 0.181 0.921 0.372
Li: 0.500 0.500 0.500
Li: 0.819 0.079 0.628
Ti: 0.123 0.698 0.691
Ti: 0.877 0.302 0.309
Cu: 0.000 0.500 0.000
Cu: 0.704 0.870 0.911
Cu: 0.296 0.130 0.089
O: 0.057 0.052 0.846
O: 0.313 0.739 0.953
O: 0.089 0.308 0.525
O: 0.201 0.483 0.207
O: 0.488 0.845 0.676
O: 0.512 0.155 0.324
O: 0.799 0.517 0.793
O: 0.911 0.692 0.475
O: 0.687 0.261 0.047
O: 0.943 0.948 0.154

Formation energy without anion corrections in eV per atom: -1.913
Total moment in μB/cell: 3.95
Crystal system: triclinic
V in A^3/atom: 10.2

No. 12
CdRh5: PBEsol geometry, meta-GGA SCAN.

a = 2.714 Å, b = 2.714 Å, c = 11.576 Å
α = 90.00°, β = 90.00°, γ = 90.00°
Positions (direct):
Cd: 0.500 0.500 0.500
Rh: 0.000 0.000 0.683
Rh: 0.500 0.500 0.838
Rh: 0.000 0.000 0.000
Rh: 0.500 0.500 0.162
Rh: 0.000 0.000 0.317

Total energy in eV per atom: -33.19
Total moment in μB/cell: 0.00
Crystal system: tetragonal
V in A^3/atom: 14.2